Record 1
MgCu5 | PBE-GGA | relaxed

Properties
M_tot   0.000 μB per atom
Space-group type   F-43m (216)
Formation energy   -0.018 eV/atom

Cell: 4.8606 4.8606 4.8606 Å, 60.00 60.00 60.00°
Fractional coordinates of all 6 atoms:
Cu: 0.1256 0.6248 0.6248
Cu: 0.2500 0.2500 0.2500
Cu: 0.6248 0.1256 0.6248
Cu: 0.6248 0.6248 0.1256
Cu: 0.6248 0.6248 0.6248
Mg: 0.0000 0.0000 0.0000

Record 2
Sm3Zn2Ru | PBE-GGA | relaxed

Properties
M_tot   0.000 μB per atom
Space-group type   Pnma (62)
Formation energy   -0.297 eV/atom

Cell: 4.4410 10.9593 12.1443 Å, 90.00 90.00 90.00°
Fractional coordinates of all 24 atoms:
Sm: 0.2500 0.3852 0.0542
Sm: 0.7500 0.6148 0.9458
Sm: 0.7500 0.8852 0.4458
Sm: 0.2500 0.1148 0.5542
Sm: 0.2500 0.7119 0.2361
Sm: 0.7500 0.2881 0.7639
Sm: 0.7500 0.2119 0.2639
Sm: 0.2500 0.7881 0.7361
Sm: 0.2500 0.4448 0.3878
Sm: 0.7500 0.5552 0.6122
Sm: 0.7500 0.9448 0.1122
Sm: 0.2500 0.0552 0.8878
Zn: 0.2500 0.7012 0.4897
Zn: 0.7500 0.2988 0.5103
Zn: 0.7500 0.2012 0.0103
Zn: 0.2500 0.7988 0.9897
Zn: 0.2500 0.0067 0.2970
Zn: 0.7500 0.9933 0.7030
Zn: 0.7500 0.5067 0.2030
Zn: 0.2500 0.4933 0.7970
Ru: 0.2500 0.1378 0.1176
Ru: 0.7500 0.8622 0.8824
Ru: 0.7500 0.6378 0.3824
Ru: 0.2500 0.3622 0.6176

Record 3
UClF4 | PBE-GGA | relaxed

Properties
M_tot   0.167 μB per atom
Space-group type   Pmma (51)

Cell: 3.5627 7.1552 7.8207 Å, 90.00 90.00 90.00°
Each line ends with the local moment (μB).
Fractional coordinates of all 12 atoms:
U: 0.0000 0.1641 0.7500  1.10
U: 0.0000 0.8359 0.2500  1.10
Cl: 0.0000 0.5182 0.7500  -0.07
Cl: 0.0000 0.4818 0.2500  -0.07
F: 0.0000 0.0000 0.5000  -0.01
F: 0.0000 0.0000 0.0000  -0.01
F: 0.5000 0.9573 0.7500  -0.01
F: 0.5000 0.0427 0.2500  -0.01
F: 0.5000 0.7472 0.0859  -0.01
F: 0.5000 0.2528 0.9141  -0.01
F: 0.5000 0.7472 0.4141  -0.01
F: 0.5000 0.2528 0.5859  -0.01

Record 4
YIn2Pt2 | PBE-GGA | relaxed

Properties
M_tot   0.000 μB per atom
Space-group type   P-3m1 (164)
Formation energy   -0.794 eV/atom

Cell: 4.8119 4.8119 5.5354 Å, 90.02 90.02 60.01°
Fractional coordinates of all 5 atoms:
Y: 0.5000 0.0000 0.0000
In: 0.8332 0.3332 0.6554
In: 0.1668 0.6668 0.3446
Pt: 0.8335 0.3335 0.1690
Pt: 0.1665 0.6665 0.8310

Record 5
Tb3PrNdDy | PBE-GGA | relaxed

Properties
M_tot   0.000 μB per atom
Space-group type   C2/m (12)
Formation energy   0.182 eV/atom

Cell: 5.6917 10.4092 7.0413 Å, 90.20 90.00 105.87°
Fractional coordinates of all 12 atoms:
Tb: 0.8344 0.6688 0.2645
Tb: 0.7798 0.5595 0.7534
Tb: 0.4780 0.9561 0.2579
Tb: 0.2202 0.4405 0.2466
Tb: 0.5220 0.0439 0.7421
Tb: 0.1656 0.3312 0.7355
Pr: 0.3536 0.7073 0.9715
Pr: 0.6464 0.2927 0.0285
Nd: 0.0544 0.1087 0.2609
Nd: 0.9456 0.8913 0.7391
Dy: 0.6493 0.2986 0.4616
Dy: 0.3507 0.7014 0.5384

Record 6
YSi3Mo | PBE-GGA | relaxed

Properties
M_tot   0.000 μB per atom
Space-group type   Pm-3m (221)
Energy relative to the lowest polymorph listed for this composition   0.0 meV per atom

Cell: 4.7063 4.7063 4.7063 Å, 90.00 90.00 90.00°
Fractional coordinates of all 5 atoms:
Y: 0.5000 0.5000 0.5000
Mo: 0.0000 0.0000 0.0000
Si: 0.0000 0.5000 0.0000
Si: 0.0000 0.0000 0.5000
Si: 0.5000 0.0000 0.0000

Record 7
Cs2TeAuF6 | PBE-GGA | relaxed

Properties
M_tot   0.000 μB per atom
Space-group type   I4/mmm (139)

Cell: 7.2147 7.2147 6.8734 Å, 58.34 58.34 90.00°
Fractional coordinates of all 10 atoms:
Cs: 0.7500 0.2500 0.5000
Cs: 0.2500 0.7500 0.5000
Te: 0.5000 0.5000 0.0000
Au: 0.0000 0.0000 0.0000
F: 0.2267 0.2267 0.5466
F: 0.7733 0.7733 0.4534
F: 0.2952 0.2952 0.0000
F: 0.7048 0.7048 0.0000
F: 0.7048 0.2952 0.0000
F: 0.2952 0.7048 0.0000

Record 8
NaP2H | PBE-GGA | relaxed

Properties
M_tot   0.066 μB per atom
Space-group type   Fm-3m (225)
Energy relative to the lowest polymorph listed for this composition   1077.0 meV per atom

Cell: 4.3623 4.3623 4.3623 Å, 60.00 60.00 60.00°
Each line ends with the local moment (μB).
Fractional coordinates of all 4 atoms:
P: 0.2500 0.2500 0.2500  0.01
P: 0.7500 0.7500 0.7500  0.01
H: 0.0000 0.0000 0.0000  0.08
Na: 0.5000 0.5000 0.5000  0.01

Record 9
Dy5Tm2Th4 | PBE-GGA | relaxed

Properties
M_tot   0.000 μB per atom
Space-group type   C2/m (12)
Formation energy   0.023 eV/atom
Energy relative to the lowest polymorph listed for this composition   0.0 meV per atom

Cell: 3.5676 8.6471 11.7997 Å, 104.56 98.69 90.00°
Fractional coordinates of all 11 atoms:
Dy: 0.1367 0.0947 0.2734
Dy: 0.8633 0.9053 0.7266
Dy: 0.2265 0.8116 0.4529
Dy: 0.5000 0.0000 0.0000
Dy: 0.7735 0.1884 0.5471
Tm: 0.5893 0.7186 0.1786
Tm: 0.4107 0.2814 0.8214
Th: 0.6821 0.4520 0.3642
Th: 0.0462 0.3643 0.0924
Th: 0.3179 0.5480 0.6358
Th: 0.9538 0.6357 0.9076

Record 10
TbNd3Y2Er6 | PBE-GGA | relaxed

Properties
M_tot   0.001 μB per atom
Space-group type   C2/m (12)
Formation energy   0.021 eV/atom

Cell: 6.1846 6.1846 11.7730 Å, 95.02 95.02 119.98°
Fractional coordinates of all 12 atoms:
Tb: 0.0000 0.0000 0.0000
Nd: 0.1668 0.8332 0.5000
Nd: 0.8332 0.1668 0.5000
Nd: 0.5000 0.5000 0.5000
Y: 0.3334 0.6666 0.0000
Y: 0.6666 0.3334 0.0000
Er: 0.9174 0.5847 0.7526
Er: 0.7499 0.7499 0.2475
Er: 0.0826 0.4153 0.2474
Er: 0.5847 0.9174 0.7526
Er: 0.2501 0.2501 0.7525
Er: 0.4153 0.0826 0.2474

| no. | electronic total energy (eV/atom) |
| --- | --- |
| 1 | -3.6971 |
| 2 | -4.6267 |
| 3 | -6.3938 |
| 4 | -5.5985 |
| 5 | -4.4915 |
| 6 | -6.5963 |
| 7 | -3.8762 |
| 8 | -2.9258 |
| 9 | -5.5802 |
| 10 | -4.9155 |